(1)
Computed, not measured: a geometry-optimized VBiRhO5 structure at the PBE+U level of DFT.

Calculated values
The total energy is -52.4 eV/f.u.

Cell: 5.5467 5.5467 8.7176 Å, 102.76 102.76 105.53°
With the nearest neighbours (Å) after each atom.
Element x y z (fractional)
V: 0.1776 0.8224 0.7500  4 O 1.73-1.78
V: 0.8224 0.1776 0.2500  4 O 1.73-1.78
Bi: 0.5000 0.5000 0.0000  6 O 2.34-2.44
Bi: 0.5000 0.5000 0.5000  6 O 2.34-2.44
Rh: 0.1822 0.8178 0.2500  3 O 1.91-2.06
Rh: 0.8178 0.1822 0.7500  3 O 1.91-2.06
O: 0.0782 0.1923 0.4117  1 V 1.73
O: 0.1275 0.5216 0.8000  1 V 1.78
O: 0.1923 0.0782 0.9117  1 V 1.73
O: 0.3983 0.6017 0.2500  1 Rh 1.91
O: 0.4784 0.8725 0.7000  1 V 1.78
O: 0.5216 0.1275 0.3000  1 V 1.78
O: 0.6017 0.3983 0.7500  1 Rh 1.91
O: 0.8077 0.9218 0.0883  1 V 1.73
O: 0.8725 0.4784 0.2000  1 V 1.78
O: 0.9218 0.8077 0.5883  1 V 1.73

***

(2)
Computed, not measured: a geometry-optimized VBiRhO6 structure at the PBE+U level of DFT.

Calculated values
The total energy is -59.8 eV/f.u.

Cell: 5.1733 5.1733 4.9487 Å, 90.00 90.00 120.00°
With the nearest neighbours (Å) after each atom.
Element x y z (fractional)
V: 0.0000 0.0000 0.0000  6 O 1.91
Bi: 0.3333 0.6667 0.5000  6 O 2.37
Rh: 0.6667 0.3333 0.0000  6 O 2.01
O: 0.3193 0.0279 0.2155  1 V 1.91, 1 Rh 2.01
O: 0.3193 0.2913 0.7845  1 V 1.91, 1 Rh 2.01
O: 0.7087 0.0279 0.7845  1 V 1.91, 1 Rh 2.01
O: 0.7087 0.6807 0.2155  1 V 1.91, 1 Rh 2.01
O: 0.9721 0.2913 0.2155  1 V 1.91, 1 Rh 2.01
O: 0.9721 0.6807 0.7845  1 V 1.91, 1 Rh 2.01